DFT (GGA-PBE) results for a relaxed structure of CoBr.

Summary:
Total energy   -16.78 eV/cell
Formation energy (no corrections)   0.196 eV/atom
Excess energy over the best structure of this formula in the dataset   0.619 eV/f.u.

The structure in POSCAR format:
```
CoBr
1.0
3.549 0.002 0.000
-1.056 3.388 0.000
0.000 0.000 7.487
Br Co
2 2
Direct
0.000 0.000 0.116 Br
0.500 0.500 0.634 Br
0.500 0.500 0.312 Co
0.000 0.000 0.438 Co
```